Record 1
The following is a GGA-PBE calculation of a relaxed LiMnAg2I6 crystal, from the Alexandria database.

Lattice parameters (Å, degrees): 15.8640 14.7890 7.4727 90.00 111.87 90.00
With the nearest neighbours (Å) after each atom.
Space group C2/c (No. 15)
Unique sites:
1 Li 0.0000 0.1850 0.2500 (multiplicity 4)  4 I 2.81-2.88
2 Mn 0.0000 0.1770 0.7500 (multiplicity 4)  4 I 2.61-2.65
3 Ag 0.0566 0.4262 0.1279 (multiplicity 8)  4 I 2.84-2.91, 2 Ag 3.00-3.01
4 I 0.1116 0.1088 0.6028 (multiplicity 8)  1 Mn 2.61, 1 Li 2.81
5 I 0.1201 0.2487 0.0672 (multiplicity 8)  1 Mn 2.65, 1 Li 2.88, 1 Ag 2.91
6 I 0.1403 0.4193 0.5398 (multiplicity 8)  3 Ag 2.84-2.90

Computed properties:
- Uncorrected formation energy: -0.432 eV/atom
- Fermi-level density of states: 3.51 states/eV/f.u.

---

Record 2
The following is a GGA-PBE calculation of a relaxed AgRh2S4 crystal, from the Alexandria database.

Lattice parameters (Å, degrees): 10.1606 10.1560 7.1859 90.00 134.94 90.00
With the nearest neighbours (Å) after each atom.
Space group C2/c (No. 15)
Unique sites:
1 Ag 0.0000 0.1248 0.2500 (multiplicity 4)  4 S 2.49
2 Rh 0.0000 0.5000 0.0000 (multiplicity 4)  6 S 2.39
3 Rh 0.2500 0.2500 0.0000 (multiplicity 4)  6 S 2.39
4 S 0.0003 0.2661 0.5332 (multiplicity 8)  3 Rh 2.39, 1 Ag 2.49
5 S 0.2172 0.4839 0.9668 (multiplicity 8)  3 Rh 2.39, 1 Ag 2.49

Computed properties:
- Uncorrected formation energy: -0.367 eV/atom
- Fermi-level density of states: 5.98 states/eV/f.u.

---

Record 3
The following is a GGA-PBE calculation of a relaxed LiCrHg crystal, from the Alexandria database.

Lattice parameters (Å, degrees): 6.4360 6.4360 6.4360 90.00 90.00 90.00
With the nearest neighbours (Å) after each atom.
Space group F-43m (No. 216)
Unique sites:
1 Li 0.0000 0.0000 0.0000 (multiplicity 4)  4 Hg 2.79
2 Cr 0.0000 0.0000 0.5000 (multiplicity 4)  4 Hg 2.79
3 Hg 0.2500 0.2500 0.7500 (multiplicity 4)  4 Cr 2.79, 4 Li 2.79

Computed properties:
- DFT formation energy: 1.3 eV per formula unit
- Fermi-level density of states: 1.60 states/eV/f.u.

---

Record 4
The following is a GGA-PBE calculation of a relaxed ZnGe2Se4 crystal, from the Alexandria database.

Lattice parameters (Å, degrees): 7.4300 7.4300 6.6137 90.00 90.00 90.00
With the nearest neighbours (Å) after each atom.
Space group I4/m (No. 87)
Unique sites:
1 Zn 0.0000 0.0000 0.0000 (multiplicity 2)  4 Se 2.58
2 Ge 0.0000 0.5000 0.2500 (multiplicity 4)  4 Se 2.58
3 Se 0.1757 0.7003 0.0000 (multiplicity 8)  2 Ge 2.58, 1 Zn 2.58

Computed properties:
- Uncorrected formation energy: -0.169 eV/atom
- Fermi-level density of states: 2.26 states/eV/f.u.

---

Record 5
The following is a GGA-PBE calculation of a relaxed LaSm2Ag4 crystal, from the Alexandria database.

Lattice parameters (Å, degrees): 7.6083 7.6083 6.8462 90.00 90.00 90.00
With the nearest neighbours (Å) after each atom.
Space group I4/mmm (No. 139)
Unique sites:
1 La 0.0000 0.0000 0.0000 (multiplicity 2)  8 Ag 3.19
2 Sm 0.0000 0.5000 0.0000 (multiplicity 4)  8 Ag 3.19, 2 Sm 3.42
3 Ag 0.2500 0.2500 0.2500 (multiplicity 8)  2 La 3.19, 4 Sm 3.19, 2 Ag 3.42

Computed properties:
- DFT formation energy: -0.4 eV per formula unit
- Fermi-level density of states: 5.23 states/eV/f.u.

---

Record 6
The following is a GGA-PBE calculation of a relaxed BaSi2Tc crystal, from the Alexandria database.

Lattice parameters (Å, degrees): 4.8349 4.8349 6.8071 90.00 90.00 90.00
With the nearest neighbours (Å) after each atom.
Space group I-4m2 (No. 119)
Unique sites:
1 Ba 0.0000 0.0000 0.0000 (multiplicity 2)  4 Tc 2.96, 4 Si 2.96
2 Si 0.0000 0.0000 0.5000 (multiplicity 2)  4 Tc 2.96, 4 Si 2.96
3 Si 0.0000 0.5000 0.7500 (multiplicity 2)  4 Ba 2.96, 4 Si 2.96
4 Tc 0.0000 0.5000 0.2500 (multiplicity 2)  4 Ba 2.96, 4 Si 2.96

Computed properties:
- Uncorrected formation energy: 0.851 eV/atom
- Fermi-level density of states: 3.89 states/eV/f.u.

---

Record 7
The following is a GGA-PBE calculation of a relaxed CaCeSnPt crystal, from the Alexandria database.

Lattice parameters (Å, degrees): 7.3825 7.3825 7.3825 90.00 90.00 90.00
With the nearest neighbours (Å) after each atom.
Space group F-43m (No. 216)
Unique sites:
1 Ca 0.0000 0.0000 0.0000 (multiplicity 4)  4 Sn 3.20, 4 Pt 3.20
2 Ce 0.0000 0.0000 0.5000 (multiplicity 4)  4 Sn 3.20, 4 Pt 3.20
3 Sn 0.2500 0.2500 0.7500 (multiplicity 4)  4 Ce 3.20, 4 Ca 3.20
4 Pt 0.2500 0.2500 0.2500 (multiplicity 4)  4 Ce 3.20, 4 Ca 3.20

Computed properties:
- DFT formation energy: -2.8 eV per formula unit
- Fermi-level density of states: 6.25 states/eV/f.u.

---

Record 8
The following is a GGA-PBE calculation of a relaxed Rb2Li2PaS4 crystal, from the Alexandria database.

Lattice parameters (Å, degrees): 15.0628 4.1412 7.7746 90.00 109.73 90.00
With the nearest neighbours (Å) after each atom.
Space group C2/m (No. 12)
Unique sites:
1 Rb 0.1386 0.0000 0.0641 (multiplicity 4)  7 S 3.43-3.56, 3 Li 3.63-3.75
2 Li 0.1817 0.5000 0.4866 (multiplicity 4)  4 S 2.43-2.50
3 Pa 0.0000 0.0000 0.5000 (multiplicity 2)  6 S 2.74-2.77
4 S 0.0177 0.5000 0.2768 (multiplicity 4)  1 Li 2.46
5 S 0.1924 0.0000 0.6569 (multiplicity 4)  3 Li 2.43-2.50

Computed properties:
- Uncorrected formation energy: -1.449 eV/atom
- Fermi-level density of states: 5.43 states/eV/f.u.

---

Record 9
The following is a GGA-PBE calculation of a relaxed Zr2TcOs crystal, from the Alexandria database.

Lattice parameters (Å, degrees): 3.3227 4.3548 4.9244 90.00 90.00 90.00
With the nearest neighbours (Å) after each atom.
Space group Pmmm (No. 47)
Unique sites:
1 Zr 0.0000 0.0000 0.0000 (multiplicity 1)  4 Os 2.74, 4 Zr 2.97
2 Zr 0.5000 0.0000 0.5000 (multiplicity 1)  4 Tc 2.74, 4 Zr 2.97
3 Tc 0.0000 0.5000 0.5000 (multiplicity 1)  4 Zr 2.74, 4 Os 2.97
4 Os 0.5000 0.5000 0.0000 (multiplicity 1)  4 Zr 2.74, 4 Tc 2.97

Computed properties:
- DFT formation energy: -0.4 eV per formula unit
- Fermi-level density of states: 3.98 states/eV/f.u.

---

Record 10
The following is a GGA-PBE calculation of a relaxed RbU4Cu3S12 crystal, from the Alexandria database.

Lattice parameters (Å, degrees): 9.7107 9.7107 9.7107 90.00 90.00 90.00
With the nearest neighbours (Å) after each atom.
Space group Im-3 (No. 204)
Unique sites:
1 Rb 0.0000 0.0000 0.0000 (multiplicity 2)  12 S 3.51
2 U 0.2500 0.2500 0.2500 (multiplicity 8)  6 S 2.64
3 Cu 0.0000 0.0000 0.5000 (multiplicity 6)  4 S 2.40
4 S 0.0000 0.1692 0.3197 (multiplicity 24)  1 Cu 2.40, 2 U 2.64

Computed properties:
- Uncorrected formation energy: -0.922 eV/atom
- Fermi-level density of states: 12.73 states/eV/f.u.

---

Record 11
The following is a GGA-PBE calculation of a relaxed ZrSnTe2I crystal, from the Alexandria database.

Lattice parameters (Å, degrees): 5.6528 5.6528 5.6520 90.00 90.00 90.00
With the nearest neighbours (Å) after each atom.
Space group P4/mmm (No. 123)
Unique sites:
1 Zr 0.0000 0.0000 0.0000 (multiplicity 1)  2 I 2.83, 4 Te 2.83
2 Sn 0.5000 0.5000 0.5000 (multiplicity 1)  8 Te 4.00, 4 I 4.00
3 Te 0.0000 0.5000 0.0000 (multiplicity 2)  2 Zr 2.83
4 I 0.0000 0.0000 0.5000 (multiplicity 1)  2 Zr 2.83

Computed properties:
- Uncorrected formation energy: -0.141 eV/atom
- Fermi-level density of states: 3.92 states/eV/f.u.

---

Record 12
The following is a GGA-PBE calculation of a relaxed Er5Cd4Pb crystal, from the Alexandria database.

Lattice parameters (Å, degrees): 3.7337 3.7337 18.6449 90.00 90.00 90.00
With the nearest neighbours (Å) after each atom.
Space group P4/mmm (No. 123)
Unique sites:
1 Er 0.0000 0.0000 0.0000 (multiplicity 1)  8 Cd 3.23
2 Er 0.0000 0.0000 0.1971 (multiplicity 2)  8 Cd 3.19-3.21
3 Er 0.0000 0.0000 0.3931 (multiplicity 2)  4 Cd 3.23, 4 Pb 3.31
4 Cd 0.5000 0.5000 0.0996 (multiplicity 2)  8 Er 3.21-3.23
5 Cd 0.5000 0.5000 0.2928 (multiplicity 2)  8 Er 3.19-3.23
6 Pb 0.5000 0.5000 0.5000 (multiplicity 1)  8 Er 3.31

Computed properties:
- DFT formation energy: -3.3 eV per formula unit
- Fermi-level density of states: 8.16 states/eV/f.u.

---

Record 13
The following is a GGA-PBE calculation of a relaxed NaAlSn2Os crystal, from the Alexandria database.

Lattice parameters (Å, degrees): 5.1554 5.1554 4.8530 90.00 90.00 90.00
With the nearest neighbours (Å) after each atom.
Space group P4/mmm (No. 123)
Unique sites:
1 Na 0.0000 0.0000 0.0000 (multiplicity 1)  2 Al 2.43, 4 Sn 2.58
2 Al 0.0000 0.0000 0.5000 (multiplicity 1)  2 Na 2.43
3 Sn 0.0000 0.5000 0.0000 (multiplicity 2)  2 Na 2.58
4 Os 0.5000 0.5000 0.5000 (multiplicity 1)  8 Sn 3.54, 4 Al 3.65

Computed properties:
- DFT formation energy: 8.9 eV per formula unit
- Fermi-level density of states: 5.45 states/eV/f.u.

---

Record 14
The following is a GGA-PBE calculation of a relaxed CeNdErAl crystal, from the Alexandria database.

Lattice parameters (Å, degrees): 7.6258 7.6258 7.6258 90.00 90.00 90.00
With the nearest neighbours (Å) after each atom.
Space group F-43m (No. 216)
Unique sites:
1 Ce 0.0000 0.0000 0.0000 (multiplicity 4)  4 Er 3.30, 4 Al 3.30
2 Nd 0.0000 0.0000 0.5000 (multiplicity 4)  4 Er 3.30, 4 Al 3.30
3 Er 0.2500 0.2500 0.2500 (multiplicity 4)  4 Ce 3.30, 4 Nd 3.30
4 Al 0.2500 0.2500 0.7500 (multiplicity 4)  4 Ce 3.30, 4 Nd 3.30

Computed properties:
- DFT formation energy: -0.1 eV per formula unit
- Fermi-level density of states: 8.97 states/eV/f.u.

---

Record 15
The following is a GGA-PBE calculation of a relaxed MnBe2W crystal, from the Alexandria database.

Lattice parameters (Å, degrees): 2.6368 2.6368 23.7574 90.00 90.00 120.00
With the nearest neighbours (Å) after each atom.
Space group R-3m (No. 166, hexagonal axes)
Unique sites:
1 Mn 0.0000 0.0000 0.0000 (multiplicity 3)  6 Be 2.40, 6 Mn 2.64
2 Be 0.0000 0.0000 0.2554 (multiplicity 6)  3 Mn 2.40, 3 W 2.60, 6 Be 2.64
3 W 0.0000 0.0000 0.5000 (multiplicity 3)  6 Be 2.60, 6 W 2.64

Computed properties:
- DFT formation energy: 1.5 eV per formula unit
- Fermi-level density of states: 2.14 states/eV/f.u.

---

Record 16
The following is a GGA-PBE calculation of a relaxed LiYAu4 crystal, from the Alexandria database.

Lattice parameters (Å, degrees): 7.8591 7.8591 7.8591 90.00 90.00 90.00
With the nearest neighbours (Å) after each atom.
Space group F-43m (No. 216)
Unique sites:
1 Li 0.0000 0.0000 0.0000 (multiplicity 4)  12 Au 3.26, 4 Y 3.40
2 Y 0.2500 0.2500 0.7500 (multiplicity 4)  12 Au 3.26, 4 Li 3.40
3 Au 0.1255 0.1255 0.3745 (multiplicity 16)  6 Au 2.77-2.79

Computed properties:
- DFT formation energy: -2.9 eV per formula unit
- Fermi-level density of states: 5.70 states/eV/f.u.

---

Record 17
The following is a GGA-PBE calculation of a relaxed SmTmCdGe crystal, from the Alexandria database.

Lattice parameters (Å, degrees): 7.3040 7.3040 7.3040 90.00 90.00 90.00
With the nearest neighbours (Å) after each atom.
Space group F-43m (No. 216)
Unique sites:
1 Sm 0.0000 0.0000 0.0000 (multiplicity 4)  4 Ge 3.16, 4 Cd 3.16
2 Tm 0.0000 0.0000 0.5000 (multiplicity 4)  4 Cd 3.16, 4 Ge 3.16
3 Cd 0.2500 0.2500 0.7500 (multiplicity 4)  4 Sm 3.16, 4 Tm 3.16
4 Ge 0.2500 0.2500 0.2500 (multiplicity 4)  4 Tm 3.16, 4 Sm 3.16

Computed properties:
- DFT formation energy: -1.8 eV per formula unit
- Fermi-level density of states: 3.01 states/eV/f.u.

---

Record 18
The following is a GGA-PBE calculation of a relaxed BaScZn2 crystal, from the Alexandria database.

Lattice parameters (Å, degrees): 7.4847 7.4847 7.4847 90.00 90.00 90.00
With the nearest neighbours (Å) after each atom.
Space group Fm-3m (No. 225)
Unique sites:
1 Ba 0.0000 0.0000 0.0000 (multiplicity 4)  8 Zn 3.24
2 Sc 0.0000 0.0000 0.5000 (multiplicity 4)  8 Zn 3.24
3 Zn 0.2500 0.2500 0.2500 (multiplicity 8)  4 Ba 3.24, 4 Sc 3.24

Computed properties:
- DFT formation energy: 0.0 eV per formula unit
- Fermi-level density of states: 3.51 states/eV/f.u.

---

Listing V for the structures above in their given order: 406.8, 131.2, 66.6, 182.6, 198.2, 79.6, 100.6, 228.3, 71.3, 457.9, 180.6, 259.9, 129.0, 110.9, 47.7, 121.4, 97.4, 104.8 Å³/f.u..